[1]
First-principles (PBE) data for a relaxed BRuPt crystal, as listed in Alexandria.

Summary:
SG = No. 216
formation energy = 0.01 eV/atom
DOS at the Fermi energy = 3.73 states/eV/f.u.

Geometry as CIF:
```
data_BRuPt
_chemical_formula_sum 'B4 Ru4 Pt4'
_space_group_name_H-M_alt 'P 1'
_space_group_IT_number 1
_cell_length_a 5.3484
_cell_length_b 5.3484
_cell_length_c 5.3484
_cell_angle_alpha 90.00
_cell_angle_beta 90.00
_cell_angle_gamma 90.00
loop_
_space_group_symop_operation_xyz
'x,y,z'
loop_
_atom_site_label
_atom_site_type_symbol
_atom_site_fract_x
_atom_site_fract_y
_atom_site_fract_z
B1 B 0.0000 0.0000 0.0000
B2 B 0.0000 0.5000 0.5000
B3 B 0.5000 0.0000 0.5000
B4 B 0.5000 0.5000 0.0000
Ru1 Ru 0.2500 0.2500 0.2500
Ru2 Ru 0.2500 0.7500 0.7500
Ru3 Ru 0.7500 0.2500 0.7500
Ru4 Ru 0.7500 0.7500 0.2500
Pt1 Pt 0.2500 0.2500 0.7500
Pt2 Pt 0.2500 0.7500 0.2500
Pt3 Pt 0.7500 0.2500 0.2500
Pt4 Pt 0.7500 0.7500 0.7500
```

---

[2]
First-principles (PBE) data for a relaxed BaP2RhSe8 crystal, as listed in Alexandria.

Summary:
SG = No. 147
DOS at the Fermi energy = 12.61 states/eV/f.u.

Geometry as CIF:
```
data_BaP2RhSe8
_chemical_formula_sum 'Ba1 P2 Rh1 Se8'
_space_group_name_H-M_alt 'P 1'
_space_group_IT_number 1
_cell_length_a 6.1204
_cell_length_b 6.1204
_cell_length_c 9.2968
_cell_angle_alpha 90.00
_cell_angle_beta 90.00
_cell_angle_gamma 120.00
loop_
_space_group_symop_operation_xyz
'x,y,z'
loop_
_atom_site_label
_atom_site_type_symbol
_atom_site_fract_x
_atom_site_fract_y
_atom_site_fract_z
Ba1 Ba 0.0000 0.0000 0.0000
P1 P 0.3333 0.6667 0.7283
P2 P 0.6667 0.3333 0.2717
Rh1 Rh 0.0000 0.0000 0.5000
Se1 Se 0.0315 0.6948 0.3320
Se2 Se 0.3052 0.3367 0.3320
Se3 Se 0.3333 0.6667 0.9647
Se4 Se 0.3367 0.0315 0.6680
Se5 Se 0.6633 0.9685 0.3320
Se6 Se 0.6667 0.3333 0.0353
Se7 Se 0.6948 0.6633 0.6680
Se8 Se 0.9685 0.3052 0.6680
```

---

Total energy? In order: -7.32 -4.43 eV per atom.